Record 1
A plane-wave DFT calculation with PBE-GGA was carried out for a geometry-optimized ScReAs2 structure.

The structure in extended XYZ format:
```
4
Lattice="0.000 3.230 3.230 3.230 0.000 3.230 3.230 3.230 0.000" Properties=species:S:1:pos:R:3 pbc="T T T"
Sc 0.000 0.000 0.000
Re 4.845 4.845 4.845
As 1.615 1.615 1.615
As 3.230 3.230 3.230
```

Summary:
Calculated density   9.4 g/cm³
Offset from the most stable computed form   0.569 eV per atom
Formation energy from the elements   0.112 eV per atom
Crystal system   cubic
Space group   F-43m (216)
Raw total energy   -6.91 eV per atom



Record 2
A plane-wave DFT calculation with PBE-GGA was carried out for a geometry-optimized Ca2ReO5 structure.

The structure in extended XYZ format:
```
16
Lattice="1.940 -5.866 0.000 1.940 5.866 0.000 0.000 0.000 10.747" Properties=species:S:1:pos:R:3 pbc="T T T"
Ca 1.940 4.227 6.029
Ca 1.940 4.227 10.091
Ca 1.940 -4.227 0.656
Ca 1.940 -4.227 4.718
Re 1.940 4.019 2.687
Re 1.940 -4.019 8.060
O 1.940 5.342 1.344
O 1.940 5.342 4.029
O 1.940 2.657 1.235
O 1.940 2.657 4.138
O 1.940 1.948 8.060
O 1.940 -1.948 2.687
O 1.940 -2.657 6.608
O 1.940 -2.657 9.512
O 1.940 -5.342 6.718
O 1.940 -5.342 9.403
```

Summary:
Calculated density   4.7 g/cm³
Offset from the most stable computed form   0.000 eV per atom
Formation energy from raw total energies   -2.3118 eV/atom
Crystal system   orthorhombic
Space group   Cmcm (63)
Raw total energy   -7.47 eV per atom



Record 3
A plane-wave DFT calculation with PBE-GGA was carried out for a geometry-optimized B2Ru2Rh structure.

The structure in extended XYZ format:
```
10
Lattice="6.180 0.000 0.000 0.000 6.180 0.000 0.000 0.000 2.817" Properties=species:S:1:pos:R:3 pbc="T T T"
B 0.852 2.238 0.000
B 2.238 5.329 0.000
B 3.942 0.852 0.000
B 5.329 3.942 0.000
Ru 0.967 4.057 1.408
Ru 2.123 0.967 1.408
Ru 4.057 5.214 1.408
Ru 5.214 2.123 1.408
Rh 0.000 0.000 0.000
Rh 3.090 3.090 0.000
```

Summary:
Calculated density   10.1 g/cm³
Formation energy from the elements   -0.033 eV per atom
Crystal system   tetragonal
Space group   P4/mbm (127)
Raw total energy   -7.89 eV per atom



Record 4
A plane-wave DFT calculation with PBE-GGA was carried out for a geometry-optimized LiY3Fe structure.

The structure in extended XYZ format:
```
5
Lattice="5.247 0.000 0.000 0.000 5.247 0.000 0.000 0.000 5.247" Properties=species:S:1:pos:R:3 pbc="T T T"
Li 0.000 0.000 0.000
Y 0.000 2.624 2.624
Y 2.624 0.000 2.624
Y 2.624 2.624 0.000
Fe 2.624 2.624 2.624
```

Summary:
Calculated density   3.8 g/cm³
Offset from the most stable computed form   0.000 eV per atom
Formation energy from the elements   0.130 eV per atom
Crystal system   cubic
Space group   Pm-3m (221)
Raw total energy   -5.82 eV per atom



Record 5
A plane-wave DFT calculation with PBE-GGA was carried out for a geometry-optimized CdAu structure.

The structure in extended XYZ format:
```
16
Lattice="5.372 0.000 0.000 0.000 7.886 0.000 0.000 0.000 7.700" Properties=species:S:1:pos:R:3 pbc="T T T"
Cd 1.257 0.451 0.885
Cd 1.257 3.492 0.885
Cd 1.429 4.395 4.735
Cd 1.429 7.435 4.735
Cd 3.943 0.451 2.965
Cd 3.943 3.492 2.965
Cd 4.115 4.395 6.815
Cd 4.115 7.435 6.815
Au 0.372 1.972 6.174
Au 1.026 1.972 3.283
Au 1.660 5.915 7.133
Au 2.314 5.915 2.324
Au 3.058 1.972 5.376
Au 3.712 1.972 0.567
Au 4.346 5.915 4.417
Au 5.000 5.915 1.526
```

Summary:
Calculated density   12.6 g/cm³
Formation energy from the elements   -0.141 eV per atom
Crystal system   orthorhombic
Space group   Pnma (62)
Raw total energy   -2.24 eV per atom



Record 6
A plane-wave DFT calculation with PBE-GGA was carried out for a geometry-optimized TiAsPd3 structure.

The structure in extended XYZ format:
```
5
Lattice="4.658 0.000 0.000 0.000 4.658 0.000 0.000 0.000 4.658" Properties=species:S:1:pos:R:3 pbc="T T T"
Ti 0.000 0.000 0.000
As 2.329 2.329 2.329
Pd 0.000 0.000 2.329
Pd 0.000 2.329 0.000
Pd 2.329 0.000 0.000
```

Summary:
Calculated density   7.3 g/cm³
Offset from the most stable computed form   0.959 eV per atom
Formation energy from the elements   0.558 eV per atom
Crystal system   cubic
Space group   Pm-3m (221)
Raw total energy   -5.07 eV per atom



Record 7
A plane-wave DFT calculation with PBE-GGA was carried out for a geometry-optimized PrZr3 structure.

The structure in extended XYZ format:
```
4
Lattice="4.669 0.000 0.000 0.000 4.669 0.000 0.000 0.000 4.669" Properties=species:S:1:pos:R:3 pbc="T T T"
Pr 0.000 0.000 0.000
Zr 0.000 2.335 2.335
Zr 2.335 0.000 2.335
Zr 2.335 2.335 0.000
```

Summary:
Calculated density   6.8 g/cm³
Offset from the most stable computed form   0.045 eV per atom
Formation energy from the elements   0.195 eV per atom
Crystal system   cubic
Space group   Pm-3m (221)
Raw total energy   -7.41 eV per atom



Record 8
A plane-wave DFT calculation with PBE-GGA was carried out for a geometry-optimized CrCuOs structure.

The structure in extended XYZ format:
```
3
Lattice="-1.528 1.528 4.135 1.528 -1.528 4.135 1.528 1.528 -4.135" Properties=species:S:1:pos:R:3 pbc="T T T"
Cr 0.000 0.000 0.000
Cu 0.000 0.000 5.503
Os 0.000 0.000 2.855
```

Summary:
Calculated density   13.2 g/cm³
Offset from the most stable computed form   0.025 eV per atom
Formation energy from the elements   0.228 eV per atom
Crystal system   tetragonal
Space group   I4mm (107)
Raw total energy   -8.09 eV per atom